# 1
Compound: HfSc2TaAl
Source: Alexandria via LeMat-Bulk
Functional: PBE-GGA
Structure: relaxed

It has space group P4/mmm (No. 123), with a = 5.063 Å, b = 5.063 Å, c = 5.096 Å, α = 90.00°, β = 90.00° and γ = 90.00°. The asymmetric unit holds Hf at (0.000, 0.000, 0.000), Sc at (0.000, 0.500, 0.500), Ta at (0.000, 0.000, 0.500) and Al at (0.500, 0.500, 0.000).

The energy of formation from the pure elements comes out at 0.882 eV per atom. The crystal system is tetragonal.



# 2
Compound: AcAs2Pd5
Source: Alexandria via LeMat-Bulk
Functional: PBE-GGA
Structure: relaxed

It has space group Immm (No. 71), with a = 4.250 Å, b = 7.197 Å, c = 9.881 Å, α = 90.00°, β = 90.00° and γ = 90.00°. The asymmetric unit holds Ac at (0.000, 0.000, 0.000), As at (0.000, 0.500, 0.245), Pd at (0.000, 0.193, 0.351) and Pd at (0.000, 0.500, 0.000).

The energy of formation from the pure elements comes out at -0.667 eV per atom. The crystal system is orthorhombic.



# 3
Compound: AcLa2NdP4
Source: Alexandria via LeMat-Bulk
Functional: PBE-GGA
Structure: relaxed

It has space group P2/m (No. 10), with a = 7.434 Å, b = 4.297 Å, c = 7.442 Å, α = 90.00°, β = 109.42° and γ = 90.00°. The asymmetric unit holds Ac at (0.000, 0.000, 0.000), La at (0.500, 0.000, 0.500), La at (0.500, 0.500, 0.000), Nd at (0.000, 0.500, 0.500), P at (0.250, 0.000, 0.744) and P at (0.255, 0.500, 0.258).

The energy of formation from the pure elements comes out at -1.523 eV per atom. The crystal system is monoclinic.



# 4
Compound: Pm3Pr2Tl4
Source: Alexandria via LeMat-Bulk
Functional: PBE-GGA
Structure: relaxed

It has space group Cmce (No. 64), with a = 7.394 Å, b = 16.531 Å, c = 9.504 Å, α = 90.00°, β = 90.00° and γ = 90.00°. The asymmetric unit holds Pm at (0.000, 0.000, 0.000), Pm at (0.250, 0.218, 0.250), Pr at (0.000, 0.108, 0.571), Tl at (0.000, 0.188, 0.966) and Tl at (0.250, 0.027, 0.250).

The energy of formation from the pure elements comes out at -0.247 eV per atom. The excess energy over the best structure of this formula in the dataset comes out at 0.69 eV per formula unit. The crystal system is orthorhombic.



# 5
Compound: PaNbMo
Source: Alexandria via LeMat-Bulk
Functional: PBE-GGA
Structure: relaxed

It has space group P3m1 (No. 156), with a = 4.6589 Å, b = 4.6589 Å, c = 3.0606 Å, α = 90.00°, β = 90.00° and γ = 120.00°. The asymmetric unit holds Pa at (0.0000, 0.0000, 0.0000), Nb at (0.3333, 0.6667, 0.6852) and Mo at (0.6667, 0.3333, 0.2930).

The energy of formation from the pure elements comes out at 0.065 eV per atom. The excess energy over the best structure of this formula in the dataset comes out at 0.00 eV per formula unit. The crystal system is trigonal.